[1]
TlZn4Hg after structural relaxation. Source: the Alexandria database, functional PBE.

Lattice parameters (Å, degrees): 7.7562 7.7562 7.7562 90.00 90.00 90.00
Space group F-43m (No. 216)
Unique sites:
1 Tl 0.0000 0.0000 0.0000 (multiplicity 4)
2 Zn 0.1244 0.1244 0.6244 (multiplicity 16)
3 Hg 0.2500 0.2500 0.2500 (multiplicity 4)

## Properties
ΔE_f ... 0.114 eV/atom
Spin magnetization ... 0.000 μB/atom
Uncorrected energy ... -1.180 eV/atom


[2]
TlZnHg2 after structural relaxation. Source: the Alexandria database, functional PBE.

Lattice parameters (Å, degrees): 3.5739 3.5739 27.6278 90.00 90.00 120.00
Space group R3m (No. 160, hexagonal axes)
Unique sites:
1 Tl 0.0000 0.0000 0.0000 (multiplicity 3)
2 Zn 0.0000 0.0000 0.7485 (multiplicity 3)
3 Hg 0.0000 0.0000 0.2384 (multiplicity 3)
4 Hg 0.0000 0.0000 0.4853 (multiplicity 3)

## Properties
ΔE_f ... 0.084 eV/atom
Spin magnetization ... 0.000 μB/atom
Uncorrected energy ... -0.977 eV/atom


[3]
Tl3ZnHg3 after structural relaxation. Source: the Alexandria database, functional PBE.

Lattice parameters (Å, degrees): 8.5947 8.5947 8.5947 90.00 90.00 90.00
Space group Pm-3n (No. 223)
Unique sites:
1 Tl 0.0000 0.2500 0.5000 (multiplicity 6)
2 Zn 0.0000 0.0000 0.0000 (multiplicity 2)
3 Hg 0.0000 0.5000 0.2500 (multiplicity 6)

## Properties
ΔE_f ... 0.355 eV/atom
Spin magnetization ... 0.000 μB/atom
Uncorrected energy ... -0.971 eV/atom


[4]
TlZnHg2 after structural relaxation. Source: the Alexandria database, functional PBE.

Lattice parameters (Å, degrees): 8.3071 8.3071 6.0424 90.00 90.00 90.00
Space group I-42d (No. 122)
Unique sites:
1 Tl 0.0000 0.0000 0.0000 (multiplicity 4)
2 Zn 0.0000 0.0000 0.5000 (multiplicity 4)
3 Hg 0.2078 0.2500 0.6250 (multiplicity 8)

## Properties
ΔE_f ... 0.079 eV/atom
Spin magnetization ... 0.000 μB/atom
Uncorrected energy ... -0.982 eV/atom


[5]
Tl2ZnHg2 after structural relaxation. Source: the Alexandria database, functional PBE.

Lattice parameters (Å, degrees): 6.1944 14.4287 5.8574 90.00 90.00 90.00
Space group Ibam (No. 72)
Unique sites:
1 Tl 0.1854 0.1824 0.0000 (multiplicity 8)
2 Zn 0.0000 0.0000 0.2500 (multiplicity 4)
3 Hg 0.1524 0.4141 0.0000 (multiplicity 8)

## Properties
ΔE_f ... 0.036 eV/atom
Spin magnetization ... 0.000 μB/atom
ΔE to the lowest computed polymorph ... 0.000 eV per atom
Uncorrected energy ... -1.286 eV/atom


[6]
TlZn2Hg after structural relaxation. Source: the Alexandria database, functional PBE.

Lattice parameters (Å, degrees): 8.6878 3.4989 6.1241 90.00 103.23 90.00
Space group C2/m (No. 12)
Unique sites:
1 Tl 0.0000 0.0000 0.0000 (multiplicity 2)
2 Zn 0.2447 0.0000 0.7059 (multiplicity 4)
3 Hg 0.0000 0.5000 0.5000 (multiplicity 2)

## Properties
ΔE_f ... 0.137 eV/atom
Spin magnetization ... 0.000 μB/atom
ΔE to the lowest computed polymorph ... 0.019 eV per atom
Uncorrected energy ... -1.167 eV/atom